# 1
Density functional theory data (PBE) for a relaxed Al5CuNi crystal.

Summary:
space-group type = No. 123
N(E_F) = 2.6 states/eV/cell
V = 15.166 A^3/atom
ΔH_f (0 K) = -0.195 eV per atom
magnetic moment = 0.000 μB per cell
offset from the most stable computed form = 0.000 eV/atom

abc: 4.011 4.011 6.599
angles: 90.00 90.00 90.00
Element x y z (fractional)
Al 0.500 0.000 0.291
Al 0.000 0.500 0.709
Al 0.000 0.500 0.291
Al 0.500 0.000 0.709
Al 0.500 0.500 0.000
Cu 0.000 0.000 0.000
Ni 0.000 0.000 0.500



# 2
Density functional theory data (PBE) for a relaxed AlCu5Ni2 crystal.

Summary:
space-group type = No. 139
N(E_F) = 5.1 states/eV/cell
V = 11.861 A^3/atom
ΔH_f (0 K) = -0.085 eV per atom
magnetic moment = 0.000 μB per cell
offset from the most stable computed form = 0.074 eV/atom

abc: 7.602 7.602 7.602
angles: 152.28 152.28 39.61
Element x y z (fractional)
Ni 0.250 0.250 0.000
Ni 0.750 0.750 0.000
Cu 0.500 0.500 0.000
Cu 0.871 0.371 0.500
Cu 0.129 0.629 0.500
Cu 0.371 0.871 0.500
Cu 0.629 0.129 0.500
Al 0.000 0.000 0.000



# 3
Density functional theory data (PBE) for a relaxed AlCu5Ni6 crystal.

Summary:
space-group type = No. 71
N(E_F) = 12.3 states/eV/cell
V = 11.407 A^3/atom
ΔH_f (0 K) = -0.102 eV per atom
magnetic moment = 0.000 μB per cell

abc: 3.622 7.025 6.675
angles: 121.75 105.74 90.00
Element x y z (fractional)
Cu 0.335 0.335 0.670
Cu 0.330 0.830 0.659
Cu 0.665 0.665 0.330
Cu 0.000 0.500 0.000
Cu 0.670 0.170 0.341
Ni 0.500 0.754 0.000
Ni 0.834 0.082 0.667
Ni 0.500 0.246 0.000
Ni 0.834 0.586 0.667
Ni 0.166 0.414 0.333
Ni 0.166 0.918 0.333
Al 0.000 0.000 0.000



# 4
Density functional theory data (PBE) for a relaxed AlCuNi2 crystal.

Summary:
space-group type = No. 12
N(E_F) = 3.4 states/eV/cell
V = 11.799 A^3/atom
ΔH_f (0 K) = -0.265 eV per atom
magnetic moment = 0.000 μB per cell

abc: 4.335 4.335 4.389
angles: 77.15 77.15 36.06
Element x y z (fractional)
Ni 0.996 0.996 0.000
Ni 0.504 0.504 0.500
Al 0.250 0.250 0.250
Cu 0.750 0.750 0.750



# 5
Density functional theory data (PBE) for a relaxed Al2CuNi crystal.

Summary:
space-group type = No. 51
N(E_F) = 2.8 states/eV/cell
V = 13.381 A^3/atom
ΔH_f (0 K) = -0.233 eV per atom
magnetic moment = 0.000 μB per cell

abc: 4.246 4.893 5.152
angles: 90.00 90.00 90.00
Element x y z (fractional)
Al 0.500 0.000 0.000
Al 0.000 0.659 0.750
Al 0.000 0.341 0.250
Al 0.500 0.000 0.500
Ni 0.500 0.439 0.750
Ni 0.500 0.561 0.250
Cu 0.000 0.153 0.750
Cu 0.000 0.847 0.250



# 6
Density functional theory data (PBE) for a relaxed AlCuNi6 crystal.

Summary:
space-group type = No. 123
N(E_F) = 13.6 states/eV/cell
V = 12.814 A^3/atom
ΔH_f (0 K) = 0.241 eV per atom
magnetic moment = 2.226 μB per cell
offset from the most stable computed form = 0.430 eV/atom

abc: 3.293 3.293 9.454
angles: 90.00 90.00 90.00
Site moments in Bohr magnetons follow the coordinates.
Element x y z (fractional)
Ni 0.500 0.000 0.693  0.42
Ni 0.000 0.500 0.693  0.42
Ni 0.500 0.500 0.878  0.31
Ni 0.500 0.500 0.122  0.31
Ni 0.500 0.000 0.307  0.42
Ni 0.000 0.500 0.307  0.42
Al 0.000 0.000 0.000  -0.01
Cu 0.000 0.000 0.500  0.05



# 7
Density functional theory data (PBE) for a relaxed Al2CuNi crystal.

Summary:
space-group type = No. 12
N(E_F) = 1.9 states/eV/cell
V = 13.080 A^3/atom
ΔH_f (0 K) = -0.275 eV per atom
magnetic moment = 0.000 μB per cell

abc: 4.327 4.327 4.721
angles: 79.49 79.49 37.11
Element x y z (fractional)
Al 0.995 0.995 0.008
Al 0.505 0.505 0.492
Cu 0.750 0.750 0.750
Ni 0.250 0.250 0.250



# 8
Density functional theory data (PBE) for a relaxed Al4CuNi3 crystal.

Summary:
space-group type = No. 123
N(E_F) = 1.5 states/eV/cell
V = 12.368 A^3/atom
ΔH_f (0 K) = -0.558 eV per atom
magnetic moment = 0.000 μB per cell

abc: 2.904 2.904 11.730
angles: 90.00 90.00 90.00
Element x y z (fractional)
Ni 0.500 0.500 0.746
Ni 0.500 0.500 0.254
Ni 0.500 0.500 0.500
Al 0.000 0.000 0.135
Al 0.000 0.000 0.378
Al 0.000 0.000 0.622
Al 0.000 0.000 0.865
Cu 0.500 0.500 0.000



# 9
Density functional theory data (PBE) for a relaxed Al2Cu8Ni crystal.

Summary:
space-group type = No. 123
N(E_F) = 4.2 states/eV/cell
V = 12.857 A^3/atom
ΔH_f (0 K) = -0.021 eV per atom
magnetic moment = 0.000 μB per cell

abc: 3.745 3.745 10.086
angles: 90.00 90.00 90.00
Element x y z (fractional)
Cu 0.500 0.500 0.326
Cu 0.500 0.000 0.146
Cu 0.000 0.500 0.854
Cu 0.000 0.500 0.500
Cu 0.500 0.000 0.500
Cu 0.500 0.000 0.854
Cu 0.500 0.500 0.674
Cu 0.000 0.500 0.146
Ni 0.000 0.000 0.000
Al 0.000 0.000 0.318
Al 0.000 0.000 0.682



# 10
Density functional theory data (PBE) for a relaxed Al3Cu3Ni crystal.

Summary:
space-group type = No. 176
N(E_F) = 6.0 states/eV/cell
V = 13.105 A^3/atom
ΔH_f (0 K) = -0.197 eV per atom
magnetic moment = 0.000 μB per cell
offset from the most stable computed form = 0.092 eV/atom

abc: 6.922 6.922 4.422
angles: 90.00 90.00 120.00
Element x y z (fractional)
Cu 0.474 0.372 0.250
Cu 0.628 0.101 0.250
Cu 0.372 0.899 0.750
Cu 0.101 0.474 0.750
Cu 0.526 0.628 0.750
Cu 0.899 0.526 0.250
Ni 0.667 0.333 0.750
Ni 0.333 0.667 0.250
Al 0.062 0.269 0.250
Al 0.207 0.938 0.250
Al 0.269 0.207 0.750
Al 0.731 0.793 0.250
Al 0.938 0.731 0.750
Al 0.793 0.062 0.750



# 11
Density functional theory data (PBE) for a relaxed Al2CuNi crystal.

Summary:
space-group type = No. 44
N(E_F) = 1.0 states/eV/cell
V = 12.808 A^3/atom
ΔH_f (0 K) = -0.369 eV per atom
magnetic moment = 0.000 μB per cell

abc: 4.895 4.895 4.895
angles: 143.94 131.41 61.98
Element x y z (fractional)
Ni 0.249 0.749 0.500
Al 0.014 0.014 0.000
Al 0.744 0.244 0.500
Cu 0.493 0.493 0.000



# 12
Density functional theory data (PBE) for a relaxed AlCuNi2 crystal.

Summary:
space-group type = No. 8
N(E_F) = 2.6 states/eV/cell
V = 11.741 A^3/atom
ΔH_f (0 K) = -0.303 eV per atom
magnetic moment = 0.000 μB per cell

abc: 4.732 4.732 4.223
angles: 67.12 67.12 32.91
Element x y z (fractional)
Ni 0.751 0.751 0.686
Ni 0.001 0.001 0.063
Cu 0.251 0.251 0.187
Al 0.497 0.497 0.564



# 13
Density functional theory data (PBE) for a relaxed AlCu2Ni6 crystal.

Summary:
space-group type = No. 136
N(E_F) = 22.4 states/eV/cell
V = 11.254 A^3/atom
ΔH_f (0 K) = -0.150 eV per atom
magnetic moment = 0.939 μB per cell
offset from the most stable computed form = 0.000 eV/atom

abc: 3.605 7.496 7.497
angles: 90.00 90.00 90.00
Site moments in Bohr magnetons follow the coordinates.
Element x y z (fractional)
Cu 0.000 0.328 0.828  0.00
Cu 0.500 0.172 0.328  0.00
Cu 0.000 0.672 0.172  0.00
Cu 0.500 0.828 0.672  0.00
Al 0.000 0.000 0.500  0.00
Al 0.500 0.500 0.000  0.00
Ni 0.000 0.665 0.503  0.09
Ni 0.000 0.336 0.164  0.07
Ni 0.000 0.335 0.497  0.09
Ni 0.000 0.003 0.165  0.09
Ni 0.500 0.165 0.997  0.09
Ni 0.500 0.835 0.003  0.09
Ni 0.500 0.497 0.665  0.09
Ni 0.500 0.164 0.664  0.07
Ni 0.500 0.836 0.336  0.07
Ni 0.000 0.997 0.835  0.09
Ni 0.500 0.503 0.335  0.09
Ni 0.000 0.664 0.836  0.07



# 14
Density functional theory data (PBE) for a relaxed AlCuNi2 crystal.

Summary:
space-group type = No. 71
N(E_F) = 3.2 states/eV/cell
V = 12.966 A^3/atom
ΔH_f (0 K) = 0.183 eV per atom
magnetic moment = 1.187 μB per cell

abc: 9.540 5.379 5.379
angles: 27.40 27.52 27.52
Site moments in Bohr magnetons follow the coordinates.
Element x y z (fractional)
Al 0.000 0.000 0.000  0.02
Ni 0.753 0.000 0.000  0.56
Ni 0.247 0.000 0.000  0.56
Cu 0.500 0.000 0.000  0.02



# 15
Density functional theory data (PBE) for a relaxed AlCuNi3 crystal.

Summary:
space-group type = No. 221
N(E_F) = 5.5 states/eV/cell
V = 15.329 A^3/atom
ΔH_f (0 K) = 0.820 eV per atom
magnetic moment = 0.000 μB per cell
offset from the most stable computed form = 1.005 eV/atom

abc: 4.248 4.248 4.248
angles: 90.00 90.00 90.00
Element x y z (fractional)
Cu 0.000 0.000 0.000
Ni 0.500 0.000 0.000
Ni 0.000 0.500 0.000
Ni 0.000 0.000 0.500
Al 0.500 0.500 0.500



# 16
Density functional theory data (PBE) for a relaxed Al3Cu3Ni2 crystal.

Summary:
space-group type = No. 2
N(E_F) = 6.3 states/eV/cell
V = 12.847 A^3/atom
ΔH_f (0 K) = -0.275 eV per atom
magnetic moment = 0.000 μB per cell
offset from the most stable computed form = 0.080 eV/atom

abc: 7.503 6.495 4.694
angles: 81.81 69.31 74.15
Element x y z (fractional)
Al 0.202 0.501 0.495
Al 0.798 0.499 0.505
Al 0.434 0.124 0.266
Al 0.166 0.936 0.736
Al 0.834 0.064 0.264
Al 0.566 0.876 0.734
Cu 0.569 0.463 0.215
Cu 0.281 0.832 0.187
Cu 0.062 0.632 0.072
Cu 0.719 0.168 0.813
Cu 0.938 0.368 0.928
Cu 0.431 0.537 0.785
Ni 0.076 0.204 0.377
Ni 0.692 0.794 0.177
Ni 0.924 0.796 0.623
Ni 0.308 0.206 0.823



# 17
Density functional theory data (PBE) for a relaxed Al2CuNi4 crystal.

Summary:
space-group type = No. 139
N(E_F) = 5.5 states/eV/cell
V = 13.250 A^3/atom
ΔH_f (0 K) = -0.094 eV per atom
magnetic moment = 0.000 μB per cell
offset from the most stable computed form = 0.293 eV/atom

abc: 3.367 3.367 8.522
angles: 101.39 101.39 90.00
Element x y z (fractional)
Al 0.383 0.383 0.766
Al 0.617 0.617 0.234
Ni 0.250 0.750 0.500
Ni 0.750 0.250 0.500
Ni 0.143 0.143 0.286
Ni 0.857 0.857 0.714
Cu 0.000 0.000 0.000



# 18
Density functional theory data (PBE) for a relaxed AlCu2Ni8 crystal.

Summary:
space-group type = No. 71
N(E_F) = 14.5 states/eV/cell
V = 11.606 A^3/atom
ΔH_f (0 K) = 0.012 eV per atom
magnetic moment = 2.749 μB per cell
offset from the most stable computed form = 0.002 eV/atom

abc: 3.881 6.072 6.507
angles: 117.81 107.35 90.00
Site moments in Bohr magnetons follow the coordinates.
Element x y z (fractional)
Cu 0.800 0.300 0.601  0.03
Cu 0.200 0.700 0.399  0.03
Ni 0.353 0.143 0.706  0.31
Ni 0.000 0.705 0.000  0.46
Ni 0.153 0.153 0.305  0.37
Ni 0.353 0.563 0.706  0.31
Ni 0.847 0.847 0.695  0.37
Ni 0.000 0.295 0.000  0.46
Ni 0.647 0.437 0.294  0.31
Ni 0.647 0.857 0.294  0.31
Al 0.500 0.000 0.000  -0.01



# 19
Density functional theory data (PBE) for a relaxed AlCuNi2 crystal.

Summary:
space-group type = No. 119
N(E_F) = 2.1 states/eV/cell
V = 11.691 A^3/atom
ΔH_f (0 K) = -0.334 eV per atom
magnetic moment = 0.000 μB per cell

abc: 4.412 4.412 4.412
angles: 131.81 131.81 70.54
Element x y z (fractional)
Ni 0.250 0.750 0.500
Ni 0.000 0.000 0.000
Al 0.500 0.500 0.000
Cu 0.750 0.250 0.500



# 20
Density functional theory data (PBE) for a relaxed AlCu5Ni crystal.

Summary:
space-group type = No. 123
N(E_F) = 2.2 states/eV/cell
V = 13.142 A^3/atom
ΔH_f (0 K) = 0.045 eV per atom
magnetic moment = 0.000 μB per cell

abc: 4.119 4.119 5.423
angles: 90.00 90.00 90.00
Element x y z (fractional)
Ni 0.000 0.000 0.500
Cu 0.500 0.000 0.266
Cu 0.500 0.000 0.734
Cu 0.000 0.500 0.266
Cu 0.000 0.500 0.734
Cu 0.500 0.500 0.000
Al 0.000 0.000 0.000